Below is crystalline NaTl5Te4 at its relaxed geometry, with properties calculated at the PBE-GGA level.

It has space group C2/m (No. 12), with a = 17.7566 Å, b = 5.4197 Å, c = 7.5247 Å, α = 90.00°, β = 102.61° and γ = 90.00°. Symmetry generates all atoms from Na at (0.0000, 0.0000, 0.0000), Tl at (0.0000, 0.0000, 0.5000), Tl at (0.1533, 0.5000, 0.5531), Tl at (0.2110, 0.5000, 0.1000), Te at (0.0401, 0.5000, 0.8421) and Te at (0.1628, 0.0000, 0.3122).

The calculation puts the total magnetization at 0.00 μB/f.u. The density of states at the Fermi level is 0.047 states/eV/atom. The total energy comes out at -0.214 Ry/atom.



Below is crystalline Na3TlTe4 at its relaxed geometry, with properties calculated at the PBE-GGA level.

It has space group Immm (No. 71), with a = 4.2865 Å, b = 7.0236 Å, c = 18.4744 Å, α = 90.00°, β = 90.00° and γ = 90.00°. Symmetry generates all atoms from Na at (0.0000, 0.0000, 0.0000), Na at (0.0000, 0.5000, 0.2099), Tl at (0.0000, 0.0000, 0.5000) and Te at (0.0000, 0.2918, 0.3708).

The calculation puts the total magnetization at 0.00 μB/f.u. The density of states at the Fermi level is 0.477 states/eV/atom. The total energy comes out at -0.208 Ry/atom.



Below is crystalline NaTl3Te at its relaxed geometry, with properties calculated at the PBE-GGA level.

It has space group Pm-3m (No. 221), with a = 6.3139 Å, b = 6.3139 Å, c = 6.3139 Å, α = 90.00°, β = 90.00° and γ = 90.00°. Symmetry generates all atoms from Na at (0.0000, 0.0000, 0.0000), Tl at (0.0000, 0.5000, 0.5000) and Te at (0.5000, 0.5000, 0.5000).

The calculation puts the total magnetization at 0.00 μB/f.u. The density of states at the Fermi level is 0.824 states/eV/atom. Its offset from the most stable computed form is 0.007 eV per atom.